1.
# InPd4Au

A relaxed InPd4Au crystal (PBE-GGA, Alexandria via LeMat-Bulk).

Properties
As for the formation enthalpy at 0 K: -0.309 eV per atom. As for the total energy: -4.7737 eV per atom. As for the density of states at the Fermi level: 2.81 states/eV per cell. As for the space-group type: No. 12.

```
InPd4Au
1.0
2.4667 -4.2753 0.0000
2.4667 4.2753 0.0000
-1.4676 0.0000 4.6986
In Pd Au
1 4 1
Direct
0.0000 0.0000 0.0000 In
0.1669 0.8331 0.5000 Pd
0.3334 0.6666 0.0000 Pd
0.6666 0.3334 0.0000 Pd
0.8331 0.1669 0.5000 Pd
0.5000 0.5000 0.5000 Au
```

2.
# ZrTlRe

A relaxed ZrTlRe crystal (PBE-GGA, Alexandria via LeMat-Bulk).

Properties
As for the formation enthalpy at 0 K: 0.216 eV per atom. As for the total energy: -7.5719 eV per atom. As for the density of states at the Fermi level: 0.08 states/eV per cell. The value obtained for the relative energy among the computed polymorphs is 0.0 meV/atom. As for the space-group type: No. 107.

```
ZrTlRe
1.0
-1.7660 1.7660 4.7595
1.7660 -1.7660 4.7595
1.7660 1.7660 -4.7595
Zr Tl Re
1 1 1
Direct
0.0000 0.0000 0.0000 Zr
0.6870 0.6870 0.0000 Tl
0.3615 0.3615 0.0000 Re
```

3.
# TaReRh2

A relaxed TaReRh2 crystal (PBE-GGA, Alexandria via LeMat-Bulk).

Properties
As for the formation enthalpy at 0 K: -0.180 eV per atom. As for the total energy: -9.9308 eV per atom. As for the density of states at the Fermi level: 4.32 states/eV per cell. The value obtained for the relative energy among the computed polymorphs is 189.2 meV/atom. As for the space-group type: No. 12.

```
TaReRh2
1.0
4.6117 -1.4101 0.0000
4.6117 1.4101 0.0000
-0.8365 0.0000 4.7048
Ta Re Rh
1 1 2
Direct
0.0000 0.0000 0.0000 Ta
0.5000 0.5000 0.5000 Re
0.2474 0.2474 0.7421 Rh
0.7526 0.7526 0.2579 Rh
```

4.
# KSeF5

A relaxed KSeF5 crystal (PBE-GGA, Alexandria via LeMat-Bulk).

Properties
As for the total energy: -4.0389 eV per atom. The uncorrected formation energy comes out at -47.2 kcal/mol of atoms. As for the space-group type: No. 15.

```
KSeF5
1.0
5.1570 -3.6412 0.0000
5.1570 3.6412 0.0000
-4.1040 0.0000 7.2513
K Se F
2 2 10
Direct
0.0210 0.9790 0.7500 K
0.9790 0.0210 0.2500 K
0.5000 0.5000 0.0000 Se
0.5000 0.5000 0.5000 Se
0.2298 0.7566 0.0147 F
0.2434 0.7702 0.4853 F
0.2801 0.2985 0.3721 F
0.2985 0.2801 0.8721 F
0.4680 0.5320 0.7500 F
0.5320 0.4680 0.2500 F
0.7015 0.7199 0.1279 F
0.7199 0.7015 0.6279 F
0.7566 0.2298 0.5147 F
0.7702 0.2434 0.9853 F
```

5.
# Mg2CdCl

A relaxed Mg2CdCl crystal (PBE-GGA, Alexandria via LeMat-Bulk).

Properties
As for the total energy: -1.7780 eV per atom. The uncorrected formation energy comes out at -6.7 kcal/mol of atoms. As for the density of states at the Fermi level: 1.55 states/eV per cell. The value obtained for the relative energy among the computed polymorphs is 279.9 meV/atom. As for the space-group type: No. 47.

```
Mg2CdCl
1.0
3.2663 0.0000 0.0000
0.0000 4.8252 0.0000
0.0000 0.0000 6.1201
Mg Cd Cl
2 1 1
Direct
0.0000 0.0000 0.0000 Mg
0.5000 0.0000 0.5000 Mg
0.0000 0.5000 0.5000 Cd
0.5000 0.5000 0.0000 Cl
```

6.
# Pm8Tl3Sn4

A relaxed Pm8Tl3Sn4 crystal (PBE-GGA, Alexandria via LeMat-Bulk).

Properties
As for the formation enthalpy at 0 K: -0.363 eV per atom. As for the total energy: -4.4371 eV per atom. As for the density of states at the Fermi level: 13.25 states/eV per cell. As for the space-group type: No. 12.

```
Pm8Tl3Sn4
1.0
6.4117 -6.3610 0.0000
6.4117 6.3610 0.0000
-4.5318 0.0000 6.1504
Pm Tl Sn
8 3 4
Direct
0.2451 0.7549 0.0000 Pm
0.2464 0.2464 0.4917 Pm
0.2497 0.2497 0.0093 Pm
0.2500 0.7500 0.5000 Pm
0.7500 0.2500 0.5000 Pm
0.7503 0.7503 0.9907 Pm
0.7536 0.7536 0.5083 Pm
0.7549 0.2451 0.0000 Pm
0.0000 0.5000 0.5000 Tl
0.5000 0.0000 0.5000 Tl
0.5000 0.5000 0.0000 Tl
0.0000 0.0000 0.0000 Sn
0.0000 0.5000 0.0000 Sn
0.5000 0.0000 0.0000 Sn
0.5000 0.5000 0.5000 Sn
```